# 1
Material: Sc2ZnSi2
Method: DFT, meta-GGA SCAN
State: single point on PBEsol structure

Calculated values
Uncorrected formation energy in meV per atom: -702
Total magnetic moment in μB per atom: 0.00

Cell: 6.4635 6.4635 4.0059 Å, 90.00 90.00 90.00°
Space group P4/mbm (No. 127)
Inequivalent atoms, fractional coordinates:
Sc 0.1735 0.3265 0.0000 (multiplicity 4)
Zn 0.0000 0.0000 0.5000 (multiplicity 2)
Si 0.1272 0.6272 0.5000 (multiplicity 4)

***

# 2
Material: ZrScZn2Si
Method: DFT, meta-GGA SCAN
State: single point on PBEsol structure

Calculated values
Uncorrected formation energy in meV per atom: 375
Total magnetic moment in μB per atom: 0.00

Cell: 4.5125 4.5125 4.8382 Å, 90.00 90.00 90.00°
Space group P4/mmm (No. 123)
Inequivalent atoms, fractional coordinates:
Zr 0.0000 0.0000 0.0000 (multiplicity 1)
Sc 0.5000 0.5000 0.0000 (multiplicity 1)
Zn 0.0000 0.5000 0.5000 (multiplicity 2)
Si 0.5000 0.5000 0.5000 (multiplicity 1)

***

# 3
Material: Zr2ScSi
Method: DFT, meta-GGA SCAN
State: single point on PBEsol structure

Calculated values
Uncorrected formation energy in meV per atom: -310
Total magnetic moment in μB per atom: 0.00

Cell: 3.6089 3.6089 6.0070 Å, 90.00 90.00 90.00°
Space group P4/mmm (No. 123)
Inequivalent atoms, fractional coordinates:
Zr 0.0000 0.0000 0.2255 (multiplicity 2)
Sc 0.5000 0.5000 0.5000 (multiplicity 1)
Si 0.5000 0.5000 0.0000 (multiplicity 1)

***

# 4
Material: Sm3Sc
Method: DFT, meta-GGA SCAN
State: single point on PBEsol structure

Calculated values
DFT formation energy in kJ per mole of atoms: 2.9
Total magnetic moment in μB per atom: 0.00

Cell: 7.0378 7.0378 5.5458 Å, 90.00 90.00 120.00°
Space group P6_3/mmc (No. 194)
Inequivalent atoms, fractional coordinates:
Sm 0.1695 0.3391 0.2500 (multiplicity 6)
Sc 0.3333 0.6667 0.7500 (multiplicity 2)

***

# 5
Material: Sm3Sc
Method: DFT, meta-GGA SCAN
State: single point on PBEsol structure

Calculated values
DFT formation energy in kJ per mole of atoms: 3.3
Total magnetic moment in μB per atom: 0.00

Cell: 4.9152 4.9152 9.7101 Å, 90.00 90.00 90.00°
Space group I4/mmm (No. 139)
Inequivalent atoms, fractional coordinates:
Sm 0.0000 0.0000 0.0000 (multiplicity 2)
Sm 0.0000 0.5000 0.2500 (multiplicity 4)
Sc 0.0000 0.0000 0.5000 (multiplicity 2)

***

# 6
Material: ScSn2
Method: DFT, meta-GGA SCAN
State: single point on PBEsol structure

Calculated values
DFT formation energy in kJ per mole of atoms: -48.0
Total magnetic moment in μB per atom: 0.00

Cell: 4.2611 15.2818 4.2068 Å, 90.00 90.00 90.00°
Space group Cmmm (No. 65)
Inequivalent atoms, fractional coordinates:
Sc 0.0000 0.1466 0.0000 (multiplicity 4)
Sn 0.0000 0.0000 0.5000 (multiplicity 2)
Sn 0.0000 0.3168 0.5000 (multiplicity 4)
Sn 0.0000 0.5000 0.0000 (multiplicity 2)

***

# 7
Material: Sc3Sn
Method: DFT, meta-GGA SCAN
State: single point on PBEsol structure

Calculated values
DFT formation energy in kJ per mole of atoms: -49.7
Total magnetic moment in μB per atom: 0.65

Cell: 4.4427 4.4427 4.4427 Å, 90.00 90.00 90.00°
Space group Pm-3m (No. 221)
Inequivalent atoms, fractional coordinates:
Sc 0.0000 0.0000 0.5000 (multiplicity 3)
Sn 0.5000 0.5000 0.5000 (multiplicity 1)

***

# 8
Material: ScSn2
Method: DFT, meta-GGA SCAN
State: single point on PBEsol structure

Calculated values
DFT formation energy in kJ per mole of atoms: -51.9
Total magnetic moment in μB per atom: 0.00

Cell: 4.2122 4.2122 30.5993 Å, 90.00 90.00 90.00°
Space group I4_1/amd (No. 141, origin choice 2)
Inequivalent atoms, fractional coordinates:
Sc 0.0000 0.2500 0.0483 (multiplicity 8)
Sn 0.0000 0.2500 0.2164 (multiplicity 8)
Sn 0.0000 0.2500 0.3750 (multiplicity 4)
Sn 0.0000 0.2500 0.8750 (multiplicity 4)

***

# 9
Material: Sc3Sn
Method: DFT, meta-GGA SCAN
State: single point on PBEsol structure

Calculated values
DFT formation energy in kJ per mole of atoms: -50.1
Total magnetic moment in μB per atom: 0.54

Cell: 6.2929 6.2929 5.0935 Å, 90.00 90.00 120.00°
Space group P6_3/mmc (No. 194)
Inequivalent atoms, fractional coordinates:
Sc 0.1687 0.3374 0.2500 (multiplicity 6)
Sn 0.3333 0.6667 0.7500 (multiplicity 2)

***

# 10
Material: Sc6Sn5
Method: DFT, meta-GGA SCAN
State: single point on PBEsol structure

Calculated values
DFT formation energy in kJ per mole of atoms: -74.4
Total magnetic moment in μB per atom: 0.00

Cell: 8.7619 18.8574 5.9823 Å, 90.00 90.00 90.00°
Space group Ibam (No. 72)
Inequivalent atoms, fractional coordinates:
Sc 0.0000 0.1935 0.2500 (multiplicity 8)
Sc 0.1148 0.3585 0.0000 (multiplicity 8)
Sc 0.2399 0.0625 0.0000 (multiplicity 8)
Sn 0.0000 0.5000 0.2500 (multiplicity 4)
Sn 0.0964 0.0711 0.5000 (multiplicity 8)
Sn 0.1979 0.2912 0.5000 (multiplicity 8)

***

# 11
Material: ScTcSn3
Method: DFT, meta-GGA SCAN
State: single point on PBEsol structure

Calculated values
DFT formation energy in kJ per mole of atoms: 36.2
Total magnetic moment in μB per atom: 0.00

Cell: 5.0763 5.0763 5.0763 Å, 90.00 90.00 90.00°
Space group Pm-3m (No. 221)
Inequivalent atoms, fractional coordinates:
Sc 0.0000 0.0000 0.0000 (multiplicity 1)
Tc 0.5000 0.5000 0.5000 (multiplicity 1)
Sn 0.0000 0.5000 0.5000 (multiplicity 3)

***

# 12
Material: Zr2ScTlSn
Method: DFT, meta-GGA SCAN
State: single point on PBEsol structure

Calculated values
DFT formation energy in kJ per mole of atoms: 82.0
Total magnetic moment in μB per atom: 0.00

Cell: 4.9636 4.9636 5.2824 Å, 90.00 90.00 90.00°
Space group P4/mmm (No. 123)
Inequivalent atoms, fractional coordinates:
Zr 0.0000 0.5000 0.0000 (multiplicity 2)
Sc 0.0000 0.0000 0.0000 (multiplicity 1)
Tl 0.0000 0.0000 0.5000 (multiplicity 1)
Sn 0.5000 0.5000 0.5000 (multiplicity 1)